No. 1
Below is crystalline CdAgSO at its relaxed geometry, with properties calculated at the PBE level.

Geometry as POSCAR:
```
CdAgSO
1.0
6.985 0.000 0.000
0.000 8.548 0.000
0.000 0.000 4.987
Ag Cd O S
4 4 4 4
direct
0.950 0.350 0.063 Ag
0.450 0.650 0.063 Ag
0.550 0.350 0.563 Ag
0.050 0.650 0.563 Ag
0.403 0.102 0.064 Cd
0.903 0.898 0.064 Cd
0.097 0.102 0.564 Cd
0.597 0.898 0.564 Cd
0.087 0.108 0.061 O
0.587 0.892 0.061 O
0.413 0.108 0.561 O
0.913 0.892 0.561 O
0.578 0.370 0.063 S
0.078 0.630 0.063 S
0.922 0.370 0.563 S
0.422 0.630 0.563 S
```

Summary:
Polymorph energy (0 for the lowest one) ... 0.000 eV/atom

No. 2
Below is crystalline CdAgSeO at its relaxed geometry, with properties calculated at the PBE level.

Geometry as POSCAR:
```
CdAgSeO
1.0
-0.407 2.421 2.908
-3.770 -0.006 -0.522
-0.946 -8.477 6.928
Ag Cd O Se
2 2 2 2
direct
0.750 0.750 0.106 Ag
0.250 0.250 0.894 Ag
0.250 0.250 0.287 Cd
0.750 0.750 0.713 Cd
0.250 0.250 0.101 O
0.750 0.750 0.899 O
0.750 0.250 0.500 Se
0.250 0.750 0.500 Se
```

Summary:
Polymorph energy (0 for the lowest one) ... 0.431 eV/atom

No. 3
Below is crystalline CdAgSeO at its relaxed geometry, with properties calculated at the PBE level.

Geometry as POSCAR:
```
CdAgSeO
1.0
6.220 0.000 0.000
0.000 8.148 0.000
0.000 0.000 5.871
Ag Cd O Se
4 4 4 4
direct
0.249 0.080 0.379 Ag
0.749 0.920 0.379 Ag
0.251 0.080 0.879 Ag
0.751 0.920 0.879 Ag
0.910 0.340 0.116 Cd
0.410 0.660 0.116 Cd
0.590 0.340 0.616 Cd
0.090 0.660 0.616 Cd
0.990 0.077 0.129 O
0.490 0.923 0.129 O
0.510 0.077 0.629 O
0.010 0.923 0.629 O
0.471 0.337 0.126 Se
0.971 0.663 0.126 Se
0.029 0.337 0.626 Se
0.529 0.663 0.626 Se
```

Summary:
Polymorph energy (0 for the lowest one) ... 0.130 eV/atom

No. 4
Below is crystalline CdAgSeO at its relaxed geometry, with properties calculated at the PBE level.

Geometry as POSCAR:
```
CdAgSeO
1.0
-4.251 -5.752 -0.715
6.837 -5.110 0.453
-0.505 -0.239 4.925
Ag Cd O Se
4 4 4 4
direct
0.872 0.274 0.063 Ag
0.372 0.726 0.063 Ag
0.628 0.274 0.563 Ag
0.128 0.726 0.563 Ag
0.402 0.115 0.063 Cd
0.902 0.885 0.063 Cd
0.098 0.115 0.563 Cd
0.598 0.885 0.563 Cd
0.093 0.092 0.062 O
0.593 0.908 0.062 O
0.407 0.092 0.562 O
0.907 0.908 0.562 O
0.553 0.409 0.062 Se
0.053 0.591 0.062 Se
0.947 0.409 0.562 Se
0.447 0.591 0.562 Se
```

Summary:
Polymorph energy (0 for the lowest one) ... 0.003 eV/atom

No. 5
Below is crystalline CdAgSeO at its relaxed geometry, with properties calculated at the PBE level.

Geometry as POSCAR:
```
CdAgSeO
1.0
-0.341 2.626 2.469
-3.574 0.075 -0.574
-1.492 -7.947 8.246
Ag Cd O Se
2 2 2 2
direct
0.750 0.250 0.000 Ag
0.250 0.750 0.000 Ag
0.750 0.750 0.399 Cd
0.250 0.250 0.601 Cd
0.250 0.250 0.408 O
0.750 0.750 0.592 O
0.250 0.250 0.178 Se
0.750 0.750 0.822 Se
```

Summary:
Polymorph energy (0 for the lowest one) ... 0.294 eV/atom

No. 6
Below is crystalline CdAgSeO at its relaxed geometry, with properties calculated at the PBE level.

Geometry as POSCAR:
```
CdAgSeO
1.0
-2.197 2.678 1.010
-0.591 -1.746 -3.102
-7.772 -8.803 6.435
Ag Cd O Se
2 2 2 2
direct
0.000 0.000 0.487 Ag
0.000 0.000 0.987 Ag
0.333 0.667 0.269 Cd
0.667 0.333 0.769 Cd
0.000 0.000 0.325 O
0.000 0.000 0.825 O
0.667 0.333 0.107 Se
0.333 0.667 0.607 Se
```

Summary:
Polymorph energy (0 for the lowest one) ... 0.017 eV/atom

No. 7
Below is crystalline CdAgSeO at its relaxed geometry, with properties calculated at the PBE level.

Geometry as POSCAR:
```
CdAgSeO
1.0
4.190 0.000 0.000
0.000 4.190 0.000
0.000 0.000 8.531
Ag Cd O Se
2 2 2 2
direct
0.750 0.750 0.234 Ag
0.250 0.250 0.766 Ag
0.750 0.250 0.000 Cd
0.250 0.750 0.000 Cd
0.750 0.750 0.495 O
0.250 0.250 0.505 O
0.250 0.250 0.306 Se
0.750 0.750 0.694 Se
```

Summary:
Polymorph energy (0 for the lowest one) ... 0.353 eV/atom

No. 8
Below is crystalline CdAgSeO at its relaxed geometry, with properties calculated at the PBE level.

Geometry as POSCAR:
```
CdAgSeO
1.0
0.757 -3.049 -0.835
-4.988 -0.428 -2.956
3.747 0.967 -6.463
Ag Cd O Se
2 2 2 2
direct
0.865 0.250 0.270 Ag
0.135 0.750 0.730 Ag
0.443 0.750 0.113 Cd
0.557 0.250 0.887 Cd
0.000 0.000 0.000 O
0.000 0.500 0.000 O
0.780 0.750 0.440 Se
0.220 0.250 0.560 Se
```

Summary:
Polymorph energy (0 for the lowest one) ... 0.110 eV/atom